The following is a PBE with a Hubbard U calculation of a geometry-optimized CsMnF3 structure, from Alexandria via LeMat-Bulk.

Cell and atoms, written as POSCAR:
```
CsMnF3
1.0
3.4662 0.0000 6.3528
-1.7331 3.0018 6.3528
-1.7331 -3.0018 6.3528
Cs Mn F
2 2 6
Direct
0.3744 0.3744 0.3744
0.6256 0.6256 0.6256
0.1630 0.1630 0.1630
0.8370 0.8370 0.8370
0.4400 0.9819 0.8780
0.9819 0.8780 0.4400
0.1220 0.5600 0.0181
0.0181 0.1220 0.5600
0.5600 0.0181 0.1220
0.8780 0.4400 0.9819
```

Output
- Total magnetization: 10.00 μB/cell
- Final energy: -5.49 eV/atom